[1]
A geometry-optimized RbTlPbAu structure. Source: Alexandria via LeMat-Bulk, functional PBE.

Values from the calculation:
Size of the total moment in μB per atom: 0.000
E_form in kJ per mole of atoms: -16.3
SG: R3m, No. 160
Total DFT energy (no corrections) in eV/f.u.: -10.996

Cell: 7.536 7.536 7.536 Å, 37.61 37.61 37.61°
Fractional coordinates of all 4 atoms:
Rb 0.000 0.000 0.000
Tl 0.218 0.218 0.218
Pb 0.454 0.454 0.454
Au 0.823 0.823 0.823



[2]
A geometry-optimized Ta2AlFe structure. Source: Alexandria via LeMat-Bulk, functional PBE.

Values from the calculation:
Size of the total moment in μB per atom: 0.411
E_form in kJ per mole of atoms: -6.0
SG: Cmmm, No. 65
Total DFT energy (no corrections) in eV/f.u.: -36.159

Cell: 4.770 4.770 2.908 Å, 90.00 90.00 107.53°
Fractional coordinates of all 4 atoms:
Ta 0.000 0.500 0.000
Ta 0.500 0.000 0.000
Al 0.000 0.000 0.500
Fe 0.500 0.500 0.500



[3]
A geometry-optimized Mn2AgCl structure. Source: Alexandria via LeMat-Bulk, functional PBE.

Values from the calculation:
Size of the total moment in μB per atom: 2.128
SG: Pmmm, No. 47
Relative energy among the computed polymorphs in meV/atom: 13
Total DFT energy (no corrections) in eV/f.u.: -22.556

Cell: 3.156 3.293 7.253 Å, 90.00 90.00 90.00°
Fractional coordinates of all 4 atoms:
Mn 0.000 0.000 0.221
Mn 0.000 0.000 0.779
Ag 0.500 0.500 0.000
Cl 0.500 0.000 0.500



[4]
A geometry-optimized Mg3AuI structure. Source: Alexandria via LeMat-Bulk, functional PBE.

Values from the calculation:
Size of the total moment in μB per atom: 0.000
SG: Pm-3m, No. 221
Relative energy among the computed polymorphs in meV/atom: 0
Total DFT energy (no corrections) in eV/f.u.: -11.055

Cell: 5.261 5.261 5.261 Å, 90.00 90.00 90.00°
Fractional coordinates of all 5 atoms:
Mg 0.000 0.000 0.500
Mg 0.000 0.500 0.000
Mg 0.500 0.000 0.000
Au 0.000 0.000 0.000
I 0.500 0.500 0.500